Tc2HgOs | PBE | optimized geometry

Cell lengths 4.493, 4.493, 4.493 Å; angles 60.00, 60.00, 60.00 degrees
Site moments in Bohr magnetons follow the coordinates.
Positions (direct):
Hg 0.500 0.500 0.500  0.01
Tc 0.000 0.000 0.000  0.70
Os 0.250 0.250 0.250  -0.02
Tc 0.750 0.750 0.750  -0.14

Properties
Its energy relative to the elements is 811 meV per atom.